1.
Fe2SbOs | Alexandria | GGA-PBE | relaxed; uncorrected formation energy = 8.01 kcal/mol of atoms
1.0
3.142 0.000 0.000
0.000 4.256 0.000
0.000 0.000 4.383
Fe Sb Os
2 1 1
Direct
0.000 0.000 0.000
0.500 0.000 0.500
0.000 0.500 0.500
0.500 0.500 0.000



2.
Compound: CaZrRe2C
Source: Alexandria
Functional: GGA-PBE
Structure: relaxed

Geometry as POSCAR:
```
CaZrRe2C
1.0
5.011 0.000 0.000
0.000 5.011 0.000
0.000 0.000 4.440
Ca Zr Re C
1 1 2 1
Direct
0.000 0.000 0.000
0.500 0.500 0.500
0.000 0.500 0.500
0.500 0.000 0.500
0.500 0.500 0.000
```



3.
In2P2Pb | Alexandria | GGA-PBE | relaxed; energy relative to the lowest polymorph listed for this composition = 21 meV per atom
1.0
5.090 0.000 0.000
0.000 5.090 0.000
0.000 0.000 9.454
In P Pb
4 4 2
Direct
0.000 0.000 0.149
0.000 0.000 0.851
0.500 0.500 0.351
0.500 0.500 0.649
0.000 0.500 0.250
0.000 0.500 0.750
0.500 0.000 0.250
0.500 0.000 0.750
0.000 0.000 0.500
0.500 0.500 0.000



| no. | total moment (μB per formula unit) | uncorrected energy (eV per cell) | mass density (Mg/m³) |
| --- | --- | --- | --- |
| 1 | 4.8 | -30.89 | 12.004 |
| 2 | 2.6 | -34.33 | 7.680 |
| 3 | 0.0 | -38.07 | 6.763 |